# 1
AlMo4PbN2: optimized geometry, PBE.

```
data_AlMo4PbN2
_cell_length_a 3.2070
_cell_length_b 3.2070
_cell_length_c 13.1653
_cell_angle_alpha 90.00
_cell_angle_beta 90.00
_cell_angle_gamma 120.00
_space_group_name_H-M_alt 'P -6 m 2'
_space_group_IT_number 187
_space_group_name_Hall 'P -6 2'
loop_
_atom_site_label
_atom_site_fract_x
_atom_site_fract_y
_atom_site_fract_z
Al1 0.0000 0.0000 0.0000
Mo1 0.0000 0.0000 0.3157
Mo2 0.3333 0.6667 0.1581
Pb1 0.3333 0.6667 0.5000
N1 0.6667 0.3333 0.2445
```

Properties
Size of the total moment (μB/atom): 0.00
Electronic total energy (eV per atom): -8.394

# 2
AgAsIrO: optimized geometry, PBE.

```
data_AgAsIrO
_cell_length_a 3.5980
_cell_length_b 3.5980
_cell_length_c 9.3571
_cell_angle_alpha 90.00
_cell_angle_beta 90.00
_cell_angle_gamma 90.00
_space_group_name_H-M_alt 'P 4/n m m'
_space_group_IT_number 129
loop_
_space_group_symop_operation_xyz
'x,y,z'
'-x,-y,-z'
'-y+1/2,x,z'
'y+1/2,-x,-z'
'-x+1/2,-y+1/2,z'
'x+1/2,y+1/2,-z'
'y,-x+1/2,z'
'-y,x+1/2,-z'
'x+1/2,-y,-z'
'-x+1/2,y,z'
'-y,-x,-z'
'y,x,z'
'-x,y+1/2,-z'
'x,-y+1/2,z'
'y+1/2,x+1/2,-z'
'-y+1/2,-x+1/2,z'
loop_
_atom_site_label
_atom_site_fract_x
_atom_site_fract_y
_atom_site_fract_z
Ag1 0.2500 0.7500 0.0000
As1 0.2500 0.2500 0.2445
Ir1 0.2500 0.2500 0.6351
O1 0.2500 0.7500 0.5000
```

Properties
Size of the total moment (μB/atom): 0.00
Electronic total energy (eV per atom): -4.966
Energy relative to the lowest polymorph listed for this composition (meV per atom): 534

# 3
ErPtNO: optimized geometry, PBE.

```
data_ErPtNO
_cell_length_a 4.2435
_cell_length_b 6.9832
_cell_length_c 4.2403
_cell_angle_alpha 90.00
_cell_angle_beta 90.00
_cell_angle_gamma 90.00
_space_group_name_H-M_alt 'P m c 21'
_space_group_IT_number 26
_space_group_name_Hall 'P 2c -2'
loop_
_atom_site_label
_atom_site_fract_x
_atom_site_fract_y
_atom_site_fract_z
Er1 0.0000 0.1929 0.0000
Pt1 0.5000 0.3875 0.5052
N1 0.5000 0.3187 0.0043
O1 0.0000 0.1195 0.4999
```

Properties
Size of the total moment (μB/atom): 0.00
Electronic total energy (eV per atom): -7.174
Energy relative to the lowest polymorph listed for this composition (meV per atom): 321

# 4
AgGeH6W: optimized geometry, PBE.

```
data_AgGeH6W
_cell_length_a 6.6470
_cell_length_b 6.6470
_cell_length_c 6.6470
_cell_angle_alpha 90.00
_cell_angle_beta 90.00
_cell_angle_gamma 90.00
_space_group_name_H-M_alt 'F -4 3 m'
_space_group_IT_number 216
_space_group_name_Hall 'F -4 2 3'
loop_
_atom_site_label
_atom_site_fract_x
_atom_site_fract_y
_atom_site_fract_z
Ag1 0.0000 0.0000 0.0000
Ge1 0.2500 0.2500 0.7500
H1 0.0000 0.0000 0.2887
W1 0.2500 0.2500 0.2500
```

Properties
Size of the total moment (μB/atom): 0.18
Electronic total energy (eV per atom): -3.599

# 5
Zn11N3: optimized geometry, PBE.

```
data_Zn11N3
_cell_length_a 3.0603
_cell_length_b 11.2652
_cell_length_c 12.2592
_cell_angle_alpha 90.00
_cell_angle_beta 90.00
_cell_angle_gamma 90.00
_space_group_name_H-M_alt 'I m m m'
_space_group_IT_number 71
_space_group_name_Hall '-I 2 2'
loop_
_atom_site_label
_atom_site_fract_x
_atom_site_fract_y
_atom_site_fract_z
Zn1 0.0000 0.0000 0.0000
Zn2 0.0000 0.1766 0.2020
Zn3 0.0000 0.3777 0.1026
Zn4 0.0000 0.5000 0.3307
N1 0.0000 0.0000 0.5000
N2 0.0000 0.3908 0.5000
```

Properties
Electronic total energy (eV per atom): -2.148

# 6
NiBi: optimized geometry, PBE.

```
data_NiBi
_cell_length_a 5.3964
_cell_length_b 4.0429
_cell_length_c 7.4690
_cell_angle_alpha 90.00
_cell_angle_beta 90.00
_cell_angle_gamma 90.00
_space_group_name_H-M_alt 'P m m a'
_space_group_IT_number 51
_space_group_name_Hall '-P 2a 2a'
loop_
_atom_site_label
_atom_site_fract_x
_atom_site_fract_y
_atom_site_fract_z
Ni1 0.0000 0.0000 0.0000
Ni2 0.2500 0.5000 0.1333
Bi1 0.2500 0.0000 0.3571
Bi2 0.2500 0.5000 0.7854
```

Properties
Size of the total moment (μB/atom): 0.00
Electronic total energy (eV per atom): -4.822

# 7
BaNaFeRe: optimized geometry, PBE.

```
data_BaNaFeRe
_cell_length_a 6.9616
_cell_length_b 6.9616
_cell_length_c 6.9616
_cell_angle_alpha 90.00
_cell_angle_beta 90.00
_cell_angle_gamma 90.00
_space_group_name_H-M_alt 'F -4 3 m'
_space_group_IT_number 216
_space_group_name_Hall 'F -4 2 3'
loop_
_atom_site_label
_atom_site_fract_x
_atom_site_fract_y
_atom_site_fract_z
Ba1 0.0000 0.0000 0.0000
Na1 0.2500 0.2500 0.7500
Fe1 0.0000 0.0000 0.5000
Re1 0.2500 0.2500 0.2500
```

Properties
Size of the total moment (μB/atom): 0.99
Electronic total energy (eV per atom): -4.706
Energy relative to the lowest polymorph listed for this composition (meV per atom): 0

# 8
LiGdPd: optimized geometry, PBE.

```
data_LiGdPd
_cell_length_a 6.5659
_cell_length_b 6.5659
_cell_length_c 6.5659
_cell_angle_alpha 90.00
_cell_angle_beta 90.00
_cell_angle_gamma 90.00
_space_group_name_H-M_alt 'F -4 3 m'
_space_group_IT_number 216
_space_group_name_Hall 'F -4 2 3'
loop_
_atom_site_label
_atom_site_fract_x
_atom_site_fract_y
_atom_site_fract_z
Li1 0.0000 0.0000 0.0000
Gd1 0.0000 0.0000 0.5000
Pd1 0.2500 0.2500 0.7500
```

Properties
Size of the total moment (μB/atom): 0.00
Electronic total energy (eV per atom): -4.323
Energy relative to the lowest polymorph listed for this composition (meV per atom): 0

# 9
Al17W12: optimized geometry, PBE.

```
data_Al17W12
_cell_length_a 9.8857
_cell_length_b 9.8857
_cell_length_c 9.8857
_cell_angle_alpha 90.00
_cell_angle_beta 90.00
_cell_angle_gamma 90.00
_space_group_name_H-M_alt 'I -4 3 m'
_space_group_IT_number 217
_space_group_name_Hall 'I -4 2 3'
loop_
_atom_site_label
_atom_site_fract_x
_atom_site_fract_y
_atom_site_fract_z
Al1 0.0000 0.0000 0.0000
Al2 0.0437 0.3612 0.6388
Al3 0.1693 0.1693 0.1693
W1 0.0902 0.0902 0.7221
```

Properties
Size of the total moment (μB/atom): 0.00
Electronic total energy (eV per atom): -7.440
Energy relative to the lowest polymorph listed for this composition (meV per atom): 0

# 10
BeHgPb2: optimized geometry, PBE.

```
data_BeHgPb2
_cell_length_a 7.4214
_cell_length_b 7.4214
_cell_length_c 7.4214
_cell_angle_alpha 90.00
_cell_angle_beta 90.00
_cell_angle_gamma 90.00
_space_group_name_H-M_alt 'F -4 3 m'
_space_group_IT_number 216
_space_group_name_Hall 'F -4 2 3'
loop_
_atom_site_label
_atom_site_fract_x
_atom_site_fract_y
_atom_site_fract_z
Be1 0.0000 0.0000 0.0000
Hg1 0.2500 0.2500 0.7500
Pb1 0.0000 0.0000 0.5000
Pb2 0.2500 0.2500 0.2500
```

Properties
Electronic total energy (eV per atom): -2.311

# 11
KHoNiTe3: optimized geometry, PBE.

```
data_KHoNiTe3
_cell_length_a 10.6462
_cell_length_b 4.3200
_cell_length_c 15.8640
_cell_angle_alpha 90.00
_cell_angle_beta 90.00
_cell_angle_gamma 90.00
_space_group_name_H-M_alt 'P n m a'
_space_group_IT_number 62
_space_group_name_Hall '-P 2ac 2n'
loop_
_atom_site_label
_atom_site_fract_x
_atom_site_fract_y
_atom_site_fract_z
K1 0.0452 0.2500 0.1683
Ho1 0.1574 0.7500 0.4482
Ni1 0.1522 0.2500 0.6234
Te1 0.0283 0.7500 0.6198
Te2 0.1732 0.7500 0.0123
Te3 0.2254 0.2500 0.7747
```

Properties
Size of the total moment (μB/atom): 0.11
Electronic total energy (eV per atom): -4.255

# 12
HoErLu2: optimized geometry, PBE.

```
data_HoErLu2
_cell_length_a 5.4900
_cell_length_b 12.2767
_cell_length_c 7.0892
_cell_angle_alpha 90.00
_cell_angle_beta 90.00
_cell_angle_gamma 90.00
_space_group_name_H-M_alt 'A m a 2'
_space_group_IT_number 40
_space_group_name_Hall 'A 2 -2a'
loop_
_atom_site_label
_atom_site_fract_x
_atom_site_fract_y
_atom_site_fract_z
Ho1 0.2500 0.1669 0.0000
Er1 0.2500 0.4167 0.2497
Lu1 0.2500 0.1664 0.5005
Lu2 0.2500 0.4166 0.7510
```

Properties
Formation energy from the elements (meV per atom): 0
Size of the total moment (μB/atom): 0.01
Electronic total energy (eV per atom): -4.547

# 13
Nd2UN4: optimized geometry, PBE.

```
data_Nd2UN4
_cell_length_a 5.9926
_cell_length_b 10.0202
_cell_length_c 3.5866
_cell_angle_alpha 90.00
_cell_angle_beta 90.00
_cell_angle_gamma 90.00
_space_group_name_H-M_alt 'P b a m'
_space_group_IT_number 55
_space_group_name_Hall '-P 2 2ab'
loop_
_atom_site_label
_atom_site_fract_x
_atom_site_fract_y
_atom_site_fract_z
Nd1 0.0636 0.1772 0.0000
U1 0.0000 0.5000 0.5000
N1 0.1398 0.6889 0.5000
N2 0.2234 0.4560 0.0000
```

Properties
Size of the total moment (μB/atom): 0.00
Electronic total energy (eV per atom): -9.202

# 14
HgBiTe2: optimized geometry, PBE.

```
data_HgBiTe2
_cell_length_a 7.7137
_cell_length_b 7.7137
_cell_length_c 7.7137
_cell_angle_alpha 90.00
_cell_angle_beta 90.00
_cell_angle_gamma 90.00
_space_group_name_H-M_alt 'F -4 3 m'
_space_group_IT_number 216
_space_group_name_Hall 'F -4 2 3'
loop_
_atom_site_label
_atom_site_fract_x
_atom_site_fract_y
_atom_site_fract_z
Hg1 0.0000 0.0000 0.0000
Bi1 0.2500 0.2500 0.7500
Te1 0.0000 0.0000 0.5000
Te2 0.2500 0.2500 0.2500
```

Properties
Electronic total energy (eV per atom): -2.459

# 15
YErSc: optimized geometry, PBE.

```
data_YErSc
_cell_length_a 7.3931
_cell_length_b 7.3931
_cell_length_c 7.3931
_cell_angle_alpha 90.00
_cell_angle_beta 90.00
_cell_angle_gamma 90.00
_space_group_name_H-M_alt 'F -4 3 m'
_space_group_IT_number 216
_space_group_name_Hall 'F -4 2 3'
loop_
_atom_site_label
_atom_site_fract_x
_atom_site_fract_y
_atom_site_fract_z
Y1 0.0000 0.0000 0.0000
Er1 0.0000 0.0000 0.5000
Sc1 0.2500 0.2500 0.7500
```

Properties
Formation energy from the elements (meV per atom): 696
Size of the total moment (μB/atom): 0.00
Electronic total energy (eV per atom): -5.089
Energy relative to the lowest polymorph listed for this composition (meV per atom): 0

# 16
TcN: optimized geometry, PBE.

```
data_TcN
_cell_length_a 3.2439
_cell_length_b 3.2439
_cell_length_c 5.2941
_cell_angle_alpha 90.00
_cell_angle_beta 90.00
_cell_angle_gamma 120.00
_space_group_name_H-M_alt 'P 63 m c'
_space_group_IT_number 186
_space_group_name_Hall 'P 6c -2c'
loop_
_atom_site_label
_atom_site_fract_x
_atom_site_fract_y
_atom_site_fract_z
Tc1 0.3333 0.6667 0.0000
N1 0.3333 0.6667 0.6255
```

Properties
Size of the total moment (μB/atom): 0.01
Electronic total energy (eV per atom): -9.098
Energy relative to the lowest polymorph listed for this composition (meV per atom): 239

# 17
NdGa3Cl: optimized geometry, PBE.

```
data_NdGa3Cl
_cell_length_a 5.0153
_cell_length_b 5.0153
_cell_length_c 5.0153
_cell_angle_alpha 90.00
_cell_angle_beta 90.00
_cell_angle_gamma 90.00
_space_group_name_H-M_alt 'P m -3 m'
_space_group_IT_number 221
_space_group_name_Hall '-P 4 2 3'
loop_
_atom_site_label
_atom_site_fract_x
_atom_site_fract_y
_atom_site_fract_z
Nd1 0.0000 0.0000 0.0000
Ga1 0.0000 0.5000 0.5000
Cl1 0.5000 0.5000 0.5000
```

Properties
Size of the total moment (μB/atom): 0.00
Electronic total energy (eV per atom): -3.147

# 18
Pr: optimized geometry, PBE.

```
data_Pr
_cell_length_a 6.1025
_cell_length_b 12.7076
_cell_length_c 3.7587
_cell_angle_alpha 90.00
_cell_angle_beta 90.00
_cell_angle_gamma 90.00
_space_group_name_H-M_alt 'C m c e'
_space_group_IT_number 64
_space_group_name_Hall '-C 2ac 2'
loop_
_atom_site_label
_atom_site_fract_x
_atom_site_fract_y
_atom_site_fract_z
Pr1 0.0000 0.1348 0.0415
```

Properties
Formation energy from the elements (meV per atom): 159
Size of the total moment (μB/atom): 0.00
Electronic total energy (eV per atom): -4.616
Energy relative to the lowest polymorph listed for this composition (meV per atom): 159

# 19
BaBi2Ir: optimized geometry, PBE.

```
data_BaBi2Ir
_cell_length_a 7.6926
_cell_length_b 7.6926
_cell_length_c 7.6926
_cell_angle_alpha 90.00
_cell_angle_beta 90.00
_cell_angle_gamma 90.00
_space_group_name_H-M_alt 'F -4 3 m'
_space_group_IT_number 216
_space_group_name_Hall 'F -4 2 3'
loop_
_atom_site_label
_atom_site_fract_x
_atom_site_fract_y
_atom_site_fract_z
Ba1 0.0000 0.0000 0.0000
Bi1 0.0000 0.0000 0.5000
Bi2 0.2500 0.2500 0.7500
Ir1 0.2500 0.2500 0.2500
```

Properties
Size of the total moment (μB/atom): 0.08
Electronic total energy (eV per atom): -4.462

# 20
DyCuNi: optimized geometry, PBE.

```
data_DyCuNi
_cell_length_a 6.0841
_cell_length_b 6.0841
_cell_length_c 6.0841
_cell_angle_alpha 90.00
_cell_angle_beta 90.00
_cell_angle_gamma 90.00
_space_group_name_H-M_alt 'F -4 3 m'
_space_group_IT_number 216
_space_group_name_Hall 'F -4 2 3'
loop_
_atom_site_label
_atom_site_fract_x
_atom_site_fract_y
_atom_site_fract_z
Dy1 0.0000 0.0000 0.0000
Cu1 0.0000 0.0000 0.5000
Ni1 0.2500 0.2500 0.7500
```

Properties
Formation energy from the elements (meV per atom): -126
Size of the total moment (μB/atom): 0.00
Electronic total energy (eV per atom): -4.755

# 21
LiHoCdTe3: optimized geometry, PBE.

```
data_LiHoCdTe3
_cell_length_a 4.3022
_cell_length_b 14.3979
_cell_length_c 11.5808
_cell_angle_alpha 90.00
_cell_angle_beta 90.00
_cell_angle_gamma 90.00
_space_group_name_H-M_alt 'C m c m'
_space_group_IT_number 63
_space_group_name_Hall '-C 2c 2'
loop_
_atom_site_label
_atom_site_fract_x
_atom_site_fract_y
_atom_site_fract_z
Li1 0.0000 0.2118 0.2500
Ho1 0.0000 0.0000 0.0000
Cd1 0.0000 0.4788 0.7500
Te1 0.0000 0.1054 0.7500
Te2 0.0000 0.3551 0.5627
```

Properties
Size of the total moment (μB/atom): 0.00
Electronic total energy (eV per atom): -3.698
Energy relative to the lowest polymorph listed for this composition (meV per atom): 0

# 22
DyTmNb: optimized geometry, PBE.

```
data_DyTmNb
_cell_length_a 7.1172
_cell_length_b 7.1172
_cell_length_c 7.1172
_cell_angle_alpha 90.00
_cell_angle_beta 90.00
_cell_angle_gamma 90.00
_space_group_name_H-M_alt 'F -4 3 m'
_space_group_IT_number 216
_space_group_name_Hall 'F -4 2 3'
loop_
_atom_site_label
_atom_site_fract_x
_atom_site_fract_y
_atom_site_fract_z
Dy1 0.0000 0.0000 0.0000
Tm1 0.0000 0.0000 0.5000
Nb1 0.2500 0.2500 0.2500
```

Properties
Formation energy from the elements (meV per atom): 792
Size of the total moment (μB/atom): 0.69
Electronic total energy (eV per atom): -5.598
Energy relative to the lowest polymorph listed for this composition (meV per atom): 0

# 23
AlInAg2S4: optimized geometry, PBE.

```
data_AlInAg2S4
_cell_length_a 5.8231
_cell_length_b 5.8231
_cell_length_c 11.0303
_cell_angle_alpha 90.00
_cell_angle_beta 90.00
_cell_angle_gamma 90.00
_space_group_name_H-M_alt 'I -4'
_space_group_IT_number 82
_space_group_name_Hall 'I -4'
loop_
_atom_site_label
_atom_site_fract_x
_atom_site_fract_y
_atom_site_fract_z
Al1 0.0000 0.0000 0.0000
In1 0.0000 0.5000 0.2500
Ag1 0.0000 0.0000 0.5000
Ag2 0.0000 0.5000 0.7500
S1 0.2233 0.2330 0.1173
```

Properties
Electronic total energy (eV per atom): -4.178

# 24
TbHoSi2Os: optimized geometry, PBE.

```
data_TbHoSi2Os
_cell_length_a 10.6559
_cell_length_b 4.2263
_cell_length_c 10.0122
_cell_angle_alpha 90.00
_cell_angle_beta 118.81
_cell_angle_gamma 90.00
_space_group_name_H-M_alt 'C 1 2/m 1'
_space_group_IT_number 12
_space_group_name_Hall '-C 2y'
loop_
_atom_site_label
_atom_site_fract_x
_atom_site_fract_y
_atom_site_fract_z
Tb1 0.1866 0.0000 0.1108
Ho1 0.0072 0.0000 0.6776
Si1 0.0028 0.5000 0.8745
Si2 0.1437 0.5000 0.5602
Os1 0.2306 0.5000 0.3739
```

Properties
Size of the total moment (μB/atom): 0.01
Electronic total energy (eV per atom): -7.054
Energy relative to the lowest polymorph listed for this composition (meV per atom): 0